a | NiAuCl2 | PBE-GGA | optimized geometry

Unit cell a=2.963 b=2.963 c=10.009 alpha=90.00 beta=90.00 gamma=90.00
Site moments in Bohr magnetons follow the coordinates.
Sites, in units of the cell vectors:
Ni 0.500 0.500 0.250  1.34
Au 0.500 0.500 0.750  0.00
Cl 0.000 0.000 0.101  0.28
Cl 0.000 0.000 0.399  0.28

Computed properties:
Crystal system: tetragonal

b | NiAuCl2 | PBE-GGA | optimized geometry

Unit cell a=3.449 b=6.528 c=3.718 alpha=90.00 beta=90.00 gamma=90.00
Site moments in Bohr magnetons follow the coordinates.
Sites, in units of the cell vectors:
Ni 0.500 0.000 0.500  0.91
Au 0.000 0.500 0.500  0.00
Cl 0.000 0.000 0.000  0.06
Cl 0.500 0.500 0.000  0.00

Computed properties:
Crystal system: orthorhombic

c | NiAuCl2 | PBE-GGA | optimized geometry

Unit cell a=10.520 b=10.520 c=10.520 alpha=17.66 beta=17.66 gamma=17.66
Site moments in Bohr magnetons follow the coordinates.
Sites, in units of the cell vectors:
Ni 0.250 0.250 0.250  1.39
Au 0.750 0.750 0.750  -0.01
Cl 0.962 0.962 0.962  0.23
Cl 0.538 0.538 0.538  0.23

Computed properties:
Crystal system: trigonal

Energy relative to the most stable one, in kJ/mol of atoms: a 35.9; b 34.8; c 0.0

a | NiAuCl2 | PBE-GGA | optimized geometry

Unit cell a=3.705 b=3.705 c=8.054 alpha=90.00 beta=90.00 gamma=122.34
Site moments in Bohr magnetons follow the coordinates.
Sites, in units of the cell vectors:
Ni 0.000 0.000 0.500  0.52
Au 0.500 0.500 0.721  -0.01
Cl 0.000 0.000 0.929  -0.01
Cl 0.500 0.500 0.350  0.05

Computed properties:
Crystal system: orthorhombic

b | NiAuCl2 | PBE-GGA | optimized geometry

Unit cell a=3.031 b=3.168 c=9.464 alpha=90.73 beta=90.00 gamma=90.00
Site moments in Bohr magnetons follow the coordinates.
Sites, in units of the cell vectors:
Ni 0.500 0.250 0.250  0.09
Au 0.500 0.750 0.750  0.00
Cl 0.000 0.245 0.087  0.00
Cl 0.000 0.255 0.413  0.00

Computed properties:
Crystal system: monoclinic

Energy relative to the most stable one, in kJ/mol of atoms: a 0.0; b 6.1

a | NiAuCl2 | PBE-GGA | optimized geometry

Unit cell a=4.672 b=4.672 c=4.672 alpha=60.00 beta=60.00 gamma=60.00
Site moments in Bohr magnetons follow the coordinates.
Sites, in units of the cell vectors:
Ni 0.000 0.000 0.000  0.95
Au 0.500 0.500 0.500  0.01
Cl 0.250 0.250 0.250  0.06
Cl 0.750 0.750 0.750  0.06

Computed properties:
Crystal system: cubic

b | NiAuCl2 | PBE-GGA | optimized geometry

Unit cell a=6.310 b=6.310 c=4.878 alpha=79.23 beta=79.23 gamma=30.59
Site moments in Bohr magnetons follow the coordinates.
Sites, in units of the cell vectors:
Ni 0.750 0.750 0.750  0.87
Au 0.250 0.250 0.250  -0.02
Cl 0.121 0.121 0.932  0.07
Cl 0.379 0.379 0.568  0.07

Computed properties:
Crystal system: monoclinic

Energy relative to the most stable one, in kJ/mol of atoms: a 56.3; b 0.0

a | Ni2AuCl | PBE-GGA | optimized geometry

Unit cell a=5.092 b=5.092 c=5.092 alpha=147.09 beta=110.70 gamma=78.87
Site moments in Bohr magnetons follow the coordinates.
Sites, in units of the cell vectors:
Au 0.750 0.250 0.500  0.02
Cl 0.250 0.750 0.500  0.05
Ni 0.023 0.023 0.000  0.52
Ni 0.477 0.477 0.000  0.52

Computed properties:
Crystal system: orthorhombic

b | Ni2AuCl | PBE-GGA | optimized geometry

Unit cell a=3.109 b=3.109 c=6.853 alpha=90.00 beta=90.00 gamma=90.00
Site moments in Bohr magnetons follow the coordinates.
Sites, in units of the cell vectors:
Au 0.000 0.000 0.420  0.01
Cl 0.500 0.500 0.857  0.11
Ni 0.000 0.000 0.023  0.86
Ni 0.500 0.500 0.200  0.66

Computed properties:
Crystal system: tetragonal

Energy relative to the most stable one, in kJ/mol of atoms: a 25.1; b 0.0

a | Ni2AuCl | PBE-GGA | optimized geometry

Unit cell a=3.072 b=3.072 c=7.496 alpha=78.16 beta=78.16 gamma=59.92
Site moments in Bohr magnetons follow the coordinates.
Sites, in units of the cell vectors:
Au 0.750 0.750 0.750  0.01
Cl 0.250 0.250 0.250  0.10
Ni 0.994 0.994 0.016  0.64
Ni 0.506 0.506 0.484  0.64

Computed properties:
Crystal system: trigonal

b | Ni2AuCl | PBE-GGA | optimized geometry

Unit cell a=8.478 b=8.478 c=8.478 alpha=20.43 beta=20.43 gamma=20.43
Sites, in units of the cell vectors:
Au 0.517 0.517 0.517
Cl 0.722 0.722 0.722
Ni 0.996 0.996 0.996
Ni 0.264 0.264 0.264

Computed properties:
Crystal system: trigonal

Energy relative to the most stable one, in kJ/mol of atoms: a 3.1; b 0.0

a | Ni2AuCl | PBE-GGA | optimized geometry

Unit cell a=4.412 b=4.412 c=4.412 alpha=60.00 beta=60.00 gamma=60.00
Site moments in Bohr magnetons follow the coordinates.
Sites, in units of the cell vectors:
Au 0.500 0.500 0.500  0.02
Cl 0.750 0.750 0.750  0.03
Ni 0.000 0.000 0.000  0.69
Ni 0.250 0.250 0.250  0.67

Computed properties:
Crystal system: cubic

b | Ni2AuCl | PBE-GGA | optimized geometry

Unit cell a=2.978 b=3.610 c=6.204 alpha=90.04 beta=90.00 gamma=90.00
Site moments in Bohr magnetons follow the coordinates.
Sites, in units of the cell vectors:
Au 0.500 0.250 0.250  0.07
Cl 0.500 0.750 0.750  0.09
Ni 0.000 0.750 0.048  0.67
Ni 0.000 0.750 0.452  0.67

Computed properties:
Crystal system: orthorhombic

c | Ni2AuCl | PBE-GGA | optimized geometry

Unit cell a=4.534 b=4.534 c=2.863 alpha=90.08 beta=90.08 gamma=89.98
Site moments in Bohr magnetons follow the coordinates.
Sites, in units of the cell vectors:
Au 0.500 0.000 0.500  0.01
Cl 0.000 0.500 0.500  0.05
Ni 0.000 0.000 0.000  0.27
Ni 0.500 0.500 0.000  0.27

Computed properties:
Crystal system: monoclinic

Energy relative to the most stable one, in kJ/mol of atoms: a 50.3; b 0.0; c 28.5

a | Ni2AuCl | PBE-GGA | optimized geometry

Unit cell a=2.844 b=5.817 c=4.101 alpha=90.00 beta=90.00 gamma=90.00
Site moments in Bohr magnetons follow the coordinates.
Sites, in units of the cell vectors:
Au 0.500 0.000 0.500  0.01
Cl 0.000 0.500 0.500  0.07
Ni 0.000 0.000 0.000  0.66
Ni 0.500 0.500 0.000  0.79

Computed properties:
Crystal system: orthorhombic

b | Ni2AuCl | PBE-GGA | optimized geometry

Unit cell a=2.963 b=2.963 c=6.602 alpha=90.00 beta=90.00 gamma=90.00
Site moments in Bohr magnetons follow the coordinates.
Sites, in units of the cell vectors:
Au 0.500 0.500 0.250  0.02
Cl 0.500 0.500 0.750  0.11
Ni 0.000 0.000 0.992  0.59
Ni 0.000 0.000 0.508  0.59

Computed properties:
Crystal system: tetragonal

c | Ni2AuCl | PBE-GGA | optimized geometry

Unit cell a=5.899 b=5.899 c=5.899 alpha=145.20 beta=145.20 gamma=50.03
Site moments in Bohr magnetons follow the coordinates.
Sites, in units of the cell vectors:
Au 0.500 0.500 0.000  0.03
Cl 0.750 0.250 0.500  0.08
Ni 0.000 0.000 0.000  0.68
Ni 0.250 0.750 0.500  0.92

Computed properties:
Crystal system: tetragonal

Energy relative to the most stable one, in kJ/mol of atoms: a 23.8; b 0.0; c 25.9